VASP calculation (PBE) on VP2RuCl after structural relaxation.

Cell: 4.497 4.497 4.948 Å, 90.00 90.00 90.00°
Last column: magnetic moment on the atom in μB.
Sites, in units of the cell vectors:
Ru: 0.000 0.000 0.000  0.26
Cl: 0.000 0.000 0.500  0.01
P: 0.000 0.500 0.000  0.02
P: 0.500 0.000 0.000  0.02
V: 0.500 0.500 0.500  -0.23

Summary:
formation energy (no corrections)	849	meV/atom
uncorrected energy	-5.363	eV/atom
relative energy among the computed polymorphs	104.0	meV per atom


VASP calculation (PBE) on Cs2SnHgBr6 after structural relaxation.

Cell: 8.157 8.157 8.164 Å, 60.03 60.03 90.00°
Sites, in units of the cell vectors:
Cs: 0.750 0.250 0.500
Cs: 0.250 0.750 0.500
Hg: 0.000 0.000 0.000
Br: 0.248 0.248 0.503
Br: 0.752 0.752 0.497
Br: 0.248 0.248 0.000
Br: 0.752 0.752 0.000
Br: 0.752 0.248 0.000
Br: 0.248 0.752 0.000
Sn: 0.500 0.500 0.000

Summary:
formation energy (no corrections)	-1106	meV/atom
uncorrected energy	-2.710	eV/atom


VASP calculation (PBE) on TbNd7Er4 after structural relaxation.

Cell: 7.280 6.315 11.554 Å, 79.55 50.97 90.03°
Sites, in units of the cell vectors:
Tb: 0.000 0.000 0.000
Nd: 0.745 0.501 0.002
Nd: 0.255 0.499 0.998
Nd: 0.084 0.280 0.665
Nd: 0.916 0.720 0.335
Nd: 0.335 0.778 0.665
Nd: 0.500 0.000 0.000
Nd: 0.665 0.222 0.335
Er: 0.413 0.723 0.333
Er: 0.587 0.277 0.667
Er: 0.836 0.781 0.664
Er: 0.164 0.219 0.336

Summary:
uncorrected energy	-4.684	eV/atom
relative energy among the computed polymorphs	0.0	meV per atom
calculated formation energy	0.049	eV per formula unit


VASP calculation (PBE) on OsC2 after structural relaxation.

Cell: 3.891 3.891 3.891 Å, 137.75 137.75 61.29°
Sites, in units of the cell vectors:
C: 0.673 0.673 0.000
C: 0.327 0.327 0.000
Os: 0.000 0.000 0.000

Summary:
uncorrected energy	-7.886	eV/atom
relative energy among the computed polymorphs	1442.5	meV per atom
calculated formation energy	6.020	eV per formula unit


VASP calculation (PBE) on PuVIr2 after structural relaxation.

Cell: 4.615 4.615 4.615 Å, 60.00 60.00 60.00°
Last column: magnetic moment on the atom in μB.
Sites, in units of the cell vectors:
V: 0.500 0.500 0.500  1.89
Ir: 0.750 0.750 0.750  -0.28
Ir: 0.250 0.250 0.250  -0.28
Pu: 0.000 0.000 0.000  4.78

Summary:
uncorrected energy	-10.439	eV/atom
relative energy among the computed polymorphs	269.2	meV per atom
calculated formation energy	-0.583	eV per formula unit


VASP calculation (PBE) on Ir2OsRu5 after structural relaxation.

Cell: 5.483 5.483 5.123 Å, 105.47 105.47 120.09°
Sites, in units of the cell vectors:
Ir: 0.235 0.818 0.497
Ir: 0.738 0.321 0.503
Os: 0.818 0.738 0.000
Ru: 0.236 0.320 0.500
Ru: 0.322 0.736 0.000
Ru: 0.819 0.234 0.000
Ru: 0.736 0.820 0.500
Ru: 0.319 0.236 0.000

Summary:
uncorrected energy	-9.448	eV/atom
calculated formation energy	-0.252	eV per formula unit


VASP calculation (PBE) on CePrPt after structural relaxation.

Cell: 3.981 4.707 4.707 Å, 120.00 90.00 90.00°
Last column: magnetic moment on the atom in μB.
Sites, in units of the cell vectors:
Pr: 0.681 0.667 0.333  0.00
Ce: 0.299 0.333 0.667  0.16
Pt: 0.020 0.000 0.000  -0.01

Summary:
uncorrected energy	-6.132	eV/atom
relative energy among the computed polymorphs	181.1	meV per atom
calculated formation energy	-1.642	eV per formula unit


VASP calculation (PBE) on Sr2Ga5Ni after structural relaxation.

Cell: 4.770 6.220 6.220 Å, 90.00 90.00 90.00°
Sites, in units of the cell vectors:
Sr: 0.500 0.500 0.000
Sr: 0.500 0.000 0.500
Ga: 0.000 0.711 0.711
Ga: 0.000 0.289 0.711
Ga: 0.000 0.711 0.289
Ga: 0.500 0.000 0.000
Ga: 0.000 0.289 0.289
Ni: 0.000 0.000 0.000

Summary:
uncorrected energy	-3.309	eV/atom
calculated formation energy	-2.189	eV per formula unit


- uncorrected energy of number 5 (PuVIr2)?
  -10.439 eV/atom